1.
# PBE-GGA Hf3BiH, relaxed
data_Hf3BiH
_symmetry_space_group_name_H-M 'C 1 2/c 1'
_symmetry_Int_Tables_number 15
_symmetry_space_group_name_Hall '-C 2yc'
_cell_length_a 11.439
_cell_length_b 11.494
_cell_length_c 6.256
_cell_angle_alpha 90.00
_cell_angle_beta 108.25
_cell_angle_gamma 90.00
loop_
_atom_site_label
_atom_site_fract_x
_atom_site_fract_y
_atom_site_fract_z
_atom_site_occupancy
Hf1 0.121 0.140 0.426 1
Hf2 0.124 0.387 0.186 1
Hf3 0.125 0.124 0.927 1
Bi1 0.135 0.356 0.690 1
H1 0.000 0.008 0.250 1
H2 0.000 0.268 0.250 1
# - Energy: -0.5414 Ry per atom
# - Polymorph energy (0 for the lowest one): 0.1881 eV/atom


2.
# PBE-GGA Hf4Bi2H, relaxed
data_Hf4Bi2H
_symmetry_space_group_name_H-M 'I 4/m m m'
_symmetry_Int_Tables_number 139
_symmetry_space_group_name_Hall '-I 4 2'
_cell_length_a 6.098
_cell_length_b 6.098
_cell_length_c 8.740
_cell_angle_alpha 90.00
_cell_angle_beta 90.00
_cell_angle_gamma 90.00
loop_
_atom_site_label
_atom_site_fract_x
_atom_site_fract_y
_atom_site_fract_z
_atom_site_occupancy
Hf1 0.247 0.247 0.000 1
Bi1 0.000 0.500 0.250 1
H1 0.000 0.000 0.500 1
# - Energy: -0.5205 Ry per atom
# - Polymorph energy (0 for the lowest one): 0.3360 eV/atom


3.
# PBE-GGA HfBiH, relaxed
data_HfBiH
_symmetry_space_group_name_H-M 'P -1'
_symmetry_Int_Tables_number 2
_symmetry_space_group_name_Hall '-P 1'
_cell_length_a 3.819
_cell_length_b 5.584
_cell_length_c 5.839
_cell_angle_alpha 75.14
_cell_angle_beta 70.93
_cell_angle_gamma 70.11
loop_
_atom_site_label
_atom_site_fract_x
_atom_site_fract_y
_atom_site_fract_z
_atom_site_occupancy
Hf1 0.194 0.223 0.389 1
Bi1 0.434 0.317 0.815 1
H1 0.212 0.918 0.660 1
# - Energy: -0.4445 Ry per atom
# - Polymorph energy (0 for the lowest one): 0.0000 eV/atom


4.
# PBE-GGA Hf3BiH, relaxed
data_Hf3BiH
_symmetry_space_group_name_H-M 'P m -3 m'
_symmetry_Int_Tables_number 221
_symmetry_space_group_name_Hall '-P 4 2 3'
_cell_length_a 5.418
_cell_length_b 5.418
_cell_length_c 5.418
_cell_angle_alpha 90.00
_cell_angle_beta 90.00
_cell_angle_gamma 90.00
loop_
_atom_site_label
_atom_site_fract_x
_atom_site_fract_y
_atom_site_fract_z
_atom_site_occupancy
Hf1 0.000 0.000 0.500 1
Bi1 0.000 0.000 0.000 1
H1 0.500 0.500 0.500 1
# - Energy: -0.3929 Ry per atom
# - Polymorph energy (0 for the lowest one): 2.2075 eV/atom


5.
# PBE-GGA Hf2BiH2, relaxed
data_Hf2BiH2
_symmetry_space_group_name_H-M 'A m m 2'
_symmetry_Int_Tables_number 38
_symmetry_space_group_name_Hall 'A 2 -2'
_cell_length_a 3.857
_cell_length_b 3.776
_cell_length_c 10.909
_cell_angle_alpha 90.00
_cell_angle_beta 90.00
_cell_angle_gamma 90.00
loop_
_atom_site_label
_atom_site_fract_x
_atom_site_fract_y
_atom_site_fract_z
_atom_site_occupancy
Hf1 0.000 0.000 0.000 1
Hf2 0.500 0.000 0.351 1
Bi1 0.000 0.000 0.712 1
H1 0.000 0.000 0.432 1
H2 0.500 0.000 0.947 1
# - Energy: -0.4599 Ry per atom


6.
# PBE-GGA HfBiH2, relaxed
data_HfBiH2
_symmetry_space_group_name_H-M 'I 41/a m d'
_symmetry_Int_Tables_number 141
_cell_length_a 4.464
_cell_length_b 4.464
_cell_length_c 12.085
_cell_angle_alpha 90.00
_cell_angle_beta 90.00
_cell_angle_gamma 90.00
loop_
_symmetry_equiv_pos_as_xyz
'x,y,z'
'-x,-y,-z'
'-y+1/4,x+3/4,z+1/4'
'y+1/4,-x+3/4,-z+1/4'
'-x+1/2,-y,z+1/2'
'x+1/2,y,-z+1/2'
'y+1/4,-x+1/4,z+3/4'
'-y+1/4,x+1/4,-z+3/4'
'x,-y,-z'
'-x,y,z'
'-y+1/4,-x+1/4,-z+3/4'
'y+1/4,x+1/4,z+3/4'
'-x+1/2,y,-z+1/2'
'x+1/2,-y,z+1/2'
'y+1/4,x+3/4,-z+1/4'
'-y+1/4,-x+3/4,z+1/4'
'x+1/2,y+1/2,z+1/2'
'-x+1/2,-y+1/2,-z+1/2'
'-y+3/4,x+1/4,z+3/4'
'y+3/4,-x+1/4,-z+3/4'
'-x,-y+1/2,z'
'x,y+1/2,-z'
'y+3/4,-x+3/4,z+1/4'
'-y+3/4,x+3/4,-z+1/4'
'x+1/2,-y+1/2,-z+1/2'
'-x+1/2,y+1/2,z+1/2'
'-y+3/4,-x+3/4,-z+1/4'
'y+3/4,x+3/4,z+1/4'
'-x,y+1/2,-z'
'x,-y+1/2,z'
'y+3/4,x+1/4,-z+3/4'
'-y+3/4,-x+1/4,z+3/4'
loop_
_atom_site_label
_atom_site_fract_x
_atom_site_fract_y
_atom_site_fract_z
_atom_site_occupancy
Hf1 0.000 0.250 0.375 1
Bi1 0.000 0.250 0.875 1
H1 0.000 0.000 0.500 1
# - Energy: -0.3804 Ry per atom
# - Polymorph energy (0 for the lowest one): 0.2347 eV/atom


7.
# PBE-GGA HfBiH2, relaxed
data_HfBiH2
_symmetry_space_group_name_H-M 'F m -3 m'
_symmetry_Int_Tables_number 225
_symmetry_space_group_name_Hall '-F 4 2 3'
_cell_length_a 6.108
_cell_length_b 6.108
_cell_length_c 6.108
_cell_angle_alpha 90.00
_cell_angle_beta 90.00
_cell_angle_gamma 90.00
loop_
_atom_site_label
_atom_site_fract_x
_atom_site_fract_y
_atom_site_fract_z
_atom_site_occupancy
Hf1 0.000 0.000 0.000 1
Bi1 0.000 0.000 0.500 1
H1 0.250 0.250 0.250 1
# - Energy: -0.3322 Ry per atom
# - Polymorph energy (0 for the lowest one): 0.8905 eV/atom


8.
# PBE-GGA HfMnBiH2, relaxed
data_HfMnBiH2
_symmetry_space_group_name_H-M 'P 4/m m m'
_symmetry_Int_Tables_number 123
_symmetry_space_group_name_Hall '-P 4 2'
_cell_length_a 3.953
_cell_length_b 3.953
_cell_length_c 5.857
_cell_angle_alpha 90.00
_cell_angle_beta 90.00
_cell_angle_gamma 90.00
loop_
_atom_site_label
_atom_site_fract_x
_atom_site_fract_y
_atom_site_fract_z
_atom_site_occupancy
Hf1 0.000 0.000 0.000 1
Mn1 0.000 0.000 0.500 1
Bi1 0.500 0.500 0.000 1
H1 0.000 0.500 0.500 1
# - Energy: -0.3944 Ry per atom


9.
# PBE-GGA NaHfBiH2, relaxed
data_NaHfBiH2
_symmetry_space_group_name_H-M 'P 4/m m m'
_symmetry_Int_Tables_number 123
_symmetry_space_group_name_Hall '-P 4 2'
_cell_length_a 4.421
_cell_length_b 4.421
_cell_length_c 5.907
_cell_angle_alpha 90.00
_cell_angle_beta 90.00
_cell_angle_gamma 90.00
loop_
_atom_site_label
_atom_site_fract_x
_atom_site_fract_y
_atom_site_fract_z
_atom_site_occupancy
Na1 0.000 0.000 0.000 1
Hf1 0.500 0.500 0.000 1
Bi1 0.500 0.500 0.500 1
H1 0.000 0.500 0.500 1
# - Energy: -0.2507 Ry per atom


10.
# PBE-GGA HfNiBiH2, relaxed
data_HfNiBiH2
_symmetry_space_group_name_H-M 'P 4/m m m'
_symmetry_Int_Tables_number 123
_symmetry_space_group_name_Hall '-P 4 2'
_cell_length_a 3.781
_cell_length_b 3.781
_cell_length_c 5.910
_cell_angle_alpha 90.00
_cell_angle_beta 90.00
_cell_angle_gamma 90.00
loop_
_atom_site_label
_atom_site_fract_x
_atom_site_fract_y
_atom_site_fract_z
_atom_site_occupancy
Hf1 0.000 0.000 0.000 1
Ni1 0.500 0.500 0.500 1
Bi1 0.000 0.000 0.500 1
H1 0.000 0.500 0.000 1
# - Energy: -0.3676 Ry per atom


11.
# PBE-GGA Hf7Bi2H2Pb, relaxed
data_Hf7Bi2H2Pb
_symmetry_space_group_name_H-M 'C 1 2/m 1'
_symmetry_Int_Tables_number 12
_symmetry_space_group_name_Hall '-C 2y'
_cell_length_a 6.119
_cell_length_b 6.102
_cell_length_c 12.615
_cell_angle_alpha 90.00
_cell_angle_beta 100.06
_cell_angle_gamma 90.00
loop_
_atom_site_label
_atom_site_fract_x
_atom_site_fract_y
_atom_site_fract_z
_atom_site_occupancy
Hf1 0.000 0.000 0.000 1
Hf2 0.138 0.000 0.397 1
Hf3 0.181 0.249 0.809 1
Bi1 0.134 0.500 0.371 1
H1 0.062 0.000 0.169 1
Pb1 0.000 0.500 0.000 1
# - Energy: -0.5493 Ry per atom


12.
# PBE-GGA HfBiSbH, relaxed
data_HfBiSbH
_symmetry_space_group_name_H-M 'C 1 m 1'
_symmetry_Int_Tables_number 8
_symmetry_space_group_name_Hall 'C -2y'
_cell_length_a 5.907
_cell_length_b 3.412
_cell_length_c 8.894
_cell_angle_alpha 90.00
_cell_angle_beta 102.88
_cell_angle_gamma 90.00
loop_
_atom_site_label
_atom_site_fract_x
_atom_site_fract_y
_atom_site_fract_z
_atom_site_occupancy
Hf1 0.000 0.000 0.000 1
Bi1 0.068 0.500 0.704 1
Sb1 0.258 0.500 0.272 1
H1 0.328 0.000 0.984 1
# - Energy: -0.4124 Ry per atom